Material: Y5SiBi4
Method: DFT, PBE-GGA
State: optimized geometry

Lattice parameters (Å, degrees): 9.865 9.865 6.252 90.00 90.00 90.00
Space group I4/m (No. 87)
Asymmetric unit:
1 Y 0.000 0.000 0.000 x2
2 Y 0.097 0.280 0.500 x8
3 Si 0.000 0.000 0.500 x2
4 Bi 0.092 0.305 0.000 x8

The calculation puts the total magnetization at 0.0 μB/f.u. The value obtained for the density of states at the Fermi level is 7.03 states/eV per cell. The calculated total energy comes out at -122.7 eV/cell. The volume is 608.4 Å³ per cell.